# 1
Material: Sr3Hf2VO9
Method: DFT, PBE+U
State: optimized geometry

Cell lengths 5.7536, 5.7536, 7.0143 Å; angles 90.00, 90.00, 120.00 degrees
Last column: nearest neighbours and their distance in Å.
Space group P-3m1 (No. 164)
Asymmetric unit:
Sr: 0.0000 0.0000 0.0000 x1  12 O 2.88-2.89
Sr: 0.3333 0.6667 0.6616 x2  12 O 2.82-2.90
Hf: 0.3333 0.6667 0.1731 x2  6 O 2.06-2.07
V: 0.0000 0.0000 0.5000 x1  6 O 1.96
O: 0.0000 0.5000 0.0000 x3  2 Hf 2.06
O: 0.1625 0.3251 0.3417 x6  1 V 1.96, 1 Hf 2.07

## Properties
magnetic moment = 1.0 Bohr magnetons per cell
DFT total energy = -8.2049 eV per atom
theoretical density = 6.7 g cm⁻³


# 2
Material: SrHfV2O8
Method: DFT, PBE+U
State: optimized geometry

Cell lengths 5.6811, 5.6811, 6.9450 Å; angles 90.00, 90.00, 120.00 degrees
Last column: nearest neighbours and their distance in Å.
Space group P-3m1 (No. 164)
Asymmetric unit:
Sr: 0.0000 0.0000 0.0000 x1  6 O 2.68
Hf: 0.0000 0.0000 0.5000 x1  6 O 2.07
V: 0.3333 0.6667 0.7667 x2  4 O 1.66-1.77
O: 0.1621 0.3242 0.6898 x6  1 V 1.77
O: 0.3333 0.6667 0.0061 x2  1 V 1.66

## Properties
magnetic moment = 0.0 Bohr magnetons per cell
N(E_F) = 0.00 states/eV/f.u.
DFT total energy = -8.0818 eV per atom
theoretical density = 4.2 g cm⁻³


# 3
Material: SrHfVO5
Method: DFT, PBE+U
State: optimized geometry

Cell lengths 6.9785, 9.5430, 7.6276 Å; angles 90.00, 112.72, 90.00 degrees
Last column: nearest neighbours and their distance in Å.
Space group C2/c (No. 15)
Asymmetric unit:
Sr: 0.0000 0.1742 0.2500 x4  5 O 2.43-2.63
Hf: 0.0000 0.5000 0.0000 x4  6 O 2.02-2.13
V: 0.0000 0.1788 0.7500 x4  4 O 1.82-1.84
O: 0.0000 0.4292 0.2500 x4  2 Hf 2.02
O: 0.0940 0.2948 0.6076 x8  1 V 1.84
O: 0.1817 0.0567 0.9137 x8  1 V 1.82

## Properties
magnetic moment = 4.0 Bohr magnetons per cell
DFT total energy = -8.3510 eV per atom
theoretical density = 5.6 g cm⁻³


# 4
Material: Sr2HfWO6
Method: DFT, PBE+U
State: optimized geometry

Cell lengths 8.2342, 8.2342, 8.2342 Å; angles 90.00, 90.00, 90.00 degrees
Last column: nearest neighbours and their distance in Å.
Space group Fm-3m (No. 225)
Asymmetric unit:
Sr: 0.2500 0.2500 0.2500 x8  12 O 2.91
Hf: 0.0000 0.0000 0.0000 x4  6 O 2.06
W: 0.0000 0.0000 0.5000 x4  6 O 2.05
O: 0.0000 0.0000 0.2505 x24  1 W 2.05, 1 Hf 2.06

## Properties
magnetic moment = 8.0 Bohr magnetons per cell
N(E_F) = 3.41 states/eV/f.u.
DFT total energy = -7.8591 eV per atom
theoretical density = 7.5 g cm⁻³


Among the records above, which one has the lowest magnetic moment?
SrHfV2O8


Copy entry 3 word for word.
Material: SrHfVO5
Method: DFT, PBE+U
State: optimized geometry

Cell lengths 6.9785, 9.5430, 7.6276 Å; angles 90.00, 112.72, 90.00 degrees
Last column: nearest neighbours and their distance in Å.
Space group C2/c (No. 15)
Asymmetric unit:
Sr: 0.0000 0.1742 0.2500 x4  5 O 2.43-2.63
Hf: 0.0000 0.5000 0.0000 x4  6 O 2.02-2.13
V: 0.0000 0.1788 0.7500 x4  4 O 1.82-1.84
O: 0.0000 0.4292 0.2500 x4  2 Hf 2.02
O: 0.0940 0.2948 0.6076 x8  1 V 1.84
O: 0.1817 0.0567 0.9137 x8  1 V 1.82

## Properties
magnetic moment = 4.0 Bohr magnetons per cell
DFT total energy = -8.3510 eV per atom
theoretical density = 5.6 g cm⁻³


What is the DFT total energy in the fourth record?
-7.8591 eV per atom


Please write out number 2 again, unchanged.
Material: SrHfV2O8
Method: DFT, PBE+U
State: optimized geometry

Cell lengths 5.6811, 5.6811, 6.9450 Å; angles 90.00, 90.00, 120.00 degrees
Last column: nearest neighbours and their distance in Å.
Space group P-3m1 (No. 164)
Asymmetric unit:
Sr: 0.0000 0.0000 0.0000 x1  6 O 2.68
Hf: 0.0000 0.0000 0.5000 x1  6 O 2.07
V: 0.3333 0.6667 0.7667 x2  4 O 1.66-1.77
O: 0.1621 0.3242 0.6898 x6  1 V 1.77
O: 0.3333 0.6667 0.0061 x2  1 V 1.66

## Properties
magnetic moment = 0.0 Bohr magnetons per cell
N(E_F) = 0.00 states/eV/f.u.
DFT total energy = -8.0818 eV per atom
theoretical density = 4.2 g cm⁻³